Version a
Material: HfO3F4
Method: DFT, PBE
State: optimized geometry

Structure (CIF):
```
data_HfO3F4
_space_group_name_H-M_alt 'P 1'
_space_group_IT_number 1
_cell_length_a 6.536
_cell_length_b 12.016
_cell_length_c 7.314
_cell_angle_alpha 90.00
_cell_angle_beta 99.07
_cell_angle_gamma 90.00
loop_
_space_group_symop_operation_xyz
'x,y,z'
loop_
_atom_site_label
_atom_site_fract_x
_atom_site_fract_y
_atom_site_fract_z
Hf1 0.243 0.049 0.480
Hf2 0.243 0.451 0.980
Hf3 0.757 0.549 0.020
Hf4 0.757 0.951 0.520
O1 0.191 0.069 0.779
O2 0.191 0.431 0.279
O3 0.243 0.676 0.437
O4 0.243 0.824 0.937
O5 0.328 0.678 0.597
O6 0.328 0.822 0.097
O7 0.672 0.178 0.903
O8 0.672 0.322 0.403
O9 0.757 0.176 0.063
O10 0.757 0.324 0.563
O11 0.809 0.569 0.721
O12 0.809 0.931 0.221
F1 0.071 0.597 0.019
F2 0.071 0.903 0.519
F3 0.132 0.028 0.220
F4 0.132 0.472 0.720
F5 0.313 0.202 0.537
F6 0.313 0.298 0.037
F7 0.473 0.547 0.136
F8 0.473 0.953 0.636
F9 0.527 0.047 0.364
F10 0.527 0.453 0.864
F11 0.687 0.702 0.963
F12 0.687 0.798 0.463
F13 0.868 0.528 0.280
F14 0.868 0.972 0.780
F15 0.929 0.097 0.481
F16 0.929 0.403 0.981
```

Summary:
Crystal system: monoclinic
DOS(E_F) (states/eV per atom): 0.80

---

Version b
Material: HfO3F4
Method: DFT, PBE
State: optimized geometry

Structure (CIF):
```
data_HfO3F4
_space_group_name_H-M_alt 'P 1'
_space_group_IT_number 1
_cell_length_a 6.649
_cell_length_b 10.425
_cell_length_c 8.866
_cell_angle_alpha 90.00
_cell_angle_beta 118.78
_cell_angle_gamma 90.00
loop_
_space_group_symop_operation_xyz
'x,y,z'
loop_
_atom_site_label
_atom_site_fract_x
_atom_site_fract_y
_atom_site_fract_z
Hf1 0.242 0.048 0.488
Hf2 0.242 0.452 0.988
Hf3 0.758 0.548 0.012
Hf4 0.758 0.952 0.512
O1 0.168 0.226 0.923
O2 0.168 0.274 0.423
O3 0.308 0.130 0.003
O4 0.308 0.370 0.503
O5 0.487 0.655 0.390
O6 0.487 0.845 0.890
O7 0.513 0.155 0.110
O8 0.513 0.345 0.610
O9 0.692 0.630 0.497
O10 0.692 0.870 0.997
O11 0.832 0.726 0.577
O12 0.832 0.774 0.077
F1 0.074 0.607 0.022
F2 0.074 0.893 0.522
F3 0.079 0.055 0.239
F4 0.079 0.445 0.739
F5 0.389 0.119 0.719
F6 0.389 0.381 0.219
F7 0.465 0.605 0.034
F8 0.465 0.895 0.534
F9 0.535 0.105 0.466
F10 0.535 0.395 0.966
F11 0.611 0.619 0.781
F12 0.611 0.881 0.281
F13 0.921 0.555 0.261
F14 0.921 0.945 0.761
F15 0.926 0.107 0.478
F16 0.926 0.393 0.978
```

Summary:
Crystal system: monoclinic

---

Stability, highest: version b

---

Version a
Material: RbHfOF2
Method: DFT, PBE
State: optimized geometry

Structure (CIF):
```
data_RbHfOF2
_space_group_name_H-M_alt 'P 1'
_space_group_IT_number 1
_cell_length_a 4.671
_cell_length_b 4.671
_cell_length_c 4.747
_cell_angle_alpha 90.00
_cell_angle_beta 90.00
_cell_angle_gamma 90.00
loop_
_space_group_symop_operation_xyz
'x,y,z'
loop_
_atom_site_label
_atom_site_fract_x
_atom_site_fract_y
_atom_site_fract_z
Rb1 0.000 0.000 0.000
Hf1 0.500 0.500 0.500
O1 0.000 0.000 0.500
F1 0.000 0.500 0.000
F2 0.500 0.000 0.000
```

Summary:
Crystal system: tetragonal
DOS(E_F) (states/eV per atom): 1.17

---

Version b
Material: RbHfOF2
Method: DFT, PBE
State: optimized geometry

Structure (CIF):
```
data_RbHfOF2
_space_group_name_H-M_alt 'P 1'
_space_group_IT_number 1
_cell_length_a 4.460
_cell_length_b 4.460
_cell_length_c 4.093
_cell_angle_alpha 90.00
_cell_angle_beta 90.00
_cell_angle_gamma 90.00
loop_
_space_group_symop_operation_xyz
'x,y,z'
loop_
_atom_site_label
_atom_site_fract_x
_atom_site_fract_y
_atom_site_fract_z
Rb1 0.000 0.000 0.000
Hf1 0.500 0.500 0.500
O1 0.500 0.500 0.000
F1 0.000 0.500 0.500
F2 0.500 0.000 0.500
```

Summary:
Crystal system: tetragonal
DOS(E_F) (states/eV per atom): 0.32

---

Stability, highest: version b